(1)
AgBi2S2 | PBE | optimized geometry

Cell: 8.246 8.246 3.917 Å, 90.00 90.00 90.00°
Space group P4/mbm (No. 127)
Inequivalent atoms, fractional coordinates:
Ag: 0.000 0.000 0.000 [2 per cell]
Bi: 0.204 0.296 0.000 [4 per cell]
S: 0.142 0.642 0.500 [4 per cell]

**E_form (uncorrected)**: 0.168 eV per formula unit
**Energy above the most stable polymorph in this dataset**: 0.0 kJ per mole of atoms

=====

(2)
Sn3HgSe3 | PBE | optimized geometry

Cell: 13.391 4.128 14.619 Å, 90.00 90.00 90.00°
Space group Pnma (No. 62)
Inequivalent atoms, fractional coordinates:
Sn: 0.103 0.250 0.082 [4 per cell]
Sn: 0.104 0.250 0.589 [4 per cell]
Sn: 0.216 0.750 0.843 [4 per cell]
Hg: 0.041 0.250 0.303 [4 per cell]
Se: 0.049 0.250 0.892 [4 per cell]
Se: 0.183 0.750 0.483 [4 per cell]
Se: 0.240 0.750 0.209 [4 per cell]

**E_form (uncorrected)**: -2.024 eV per formula unit
**Energy above the most stable polymorph in this dataset**: 0.0 kJ per mole of atoms

=====

(3)
Cd2AgPbCl8 | PBE | optimized geometry

Cell: 8.807 8.807 9.146 Å, 90.00 90.00 90.00°
Space group I-4m2 (No. 119)
Inequivalent atoms, fractional coordinates:
Cd: 0.000 0.000 0.000 [2 per cell]
Cd: 0.000 0.500 0.250 [2 per cell]
Ag: 0.000 0.000 0.500 [2 per cell]
Pb: 0.000 0.500 0.750 [2 per cell]
Cl: 0.000 0.189 0.800 [8 per cell]
Cl: 0.000 0.301 0.450 [8 per cell]

**E_form (uncorrected)**: -9.489 eV per formula unit

=====

(4)
KMnCd2 | PBE | optimized geometry

Cell: 3.685 3.685 8.261 Å, 90.00 90.00 90.00°
Space group P4mm (No. 99)
Inequivalent atoms, fractional coordinates:
K: 0.000 0.000 0.000 [1 per cell]
Mn: 0.500 0.500 0.335 [1 per cell]
Cd: 0.000 0.000 0.455 [1 per cell]
Cd: 0.500 0.500 0.691 [1 per cell]

**Energy above the most stable polymorph in this dataset**: 10.8 kJ per mole of atoms

=====

(5)
FeCuAg2 | PBE | optimized geometry

Cell: 2.7943 2.7943 26.9532 Å, 90.00 90.00 120.00°
Space group R-3m (No. 166, hexagonal axes)
Inequivalent atoms, fractional coordinates:
Fe: 0.0000 0.0000 0.0000 [3 per cell]
Cu: 0.0000 0.0000 0.5000 [3 per cell]
Ag: 0.0000 0.0000 0.2487 [6 per cell]

**Energy above the most stable polymorph in this dataset**: 8.7 kJ per mole of atoms

=====

(6)
Na3Cd2Pb2 | PBE | optimized geometry

Cell: 8.785 5.383 8.801 Å, 90.00 116.07 90.00°
Space group C2/m (No. 12)
Inequivalent atoms, fractional coordinates:
Na: 0.000 0.000 0.000 [2 per cell]
Na: 0.144 0.000 0.431 [4 per cell]
Cd: 0.209 0.500 0.149 [4 per cell]
Pb: 0.084 0.500 0.735 [4 per cell]

**Raw total energy**: -2.003 eV/atom

=====

(7)
TlCoSn2Bi | PBE | optimized geometry

Cell: 5.028 5.028 5.125 Å, 90.00 90.00 90.00°
Space group P4/mmm (No. 123)
Inequivalent atoms, fractional coordinates:
Tl: 0.000 0.000 0.000 [1 per cell]
Co: 0.000 0.000 0.500 [1 per cell]
Sn: 0.000 0.500 0.500 [2 per cell]
Bi: 0.500 0.500 0.000 [1 per cell]

**Energy above the most stable polymorph in this dataset**: 0.3 kJ per mole of atoms

=====

(8)
Li2Ho3Se4 | PBE | optimized geometry

Cell: 13.449 3.988 10.298 Å, 90.00 126.47 90.00°
Space group C2/m (No. 12)
Inequivalent atoms, fractional coordinates:
Li: 0.159 0.000 0.372 [4 per cell]
Ho: 0.000 0.500 0.000 [2 per cell]
Ho: 0.203 0.500 0.830 [4 per cell]
Se: 0.067 0.000 0.862 [4 per cell]
Se: 0.249 0.000 0.675 [4 per cell]

**E_form (uncorrected)**: -13.218 eV per formula unit

=====

(9)
Be3IrF | PBE | optimized geometry

Cell: 4.254 4.254 4.254 Å, 90.00 90.00 90.00°
Space group Pm-3m (No. 221)
Inequivalent atoms, fractional coordinates:
Be: 0.000 0.000 0.500 [3 per cell]
Ir: 0.000 0.000 0.000 [1 per cell]
F: 0.500 0.500 0.500 [1 per cell]

**E_form (uncorrected)**: 1.315 eV per formula unit
**Energy above the most stable polymorph in this dataset**: 70.3 kJ per mole of atoms

=====

(10)
ReTc4Br | PBE | optimized geometry

Cell: 7.295 7.295 7.295 Å, 90.00 90.00 90.00°
Space group F-43m (No. 216)
Inequivalent atoms, fractional coordinates:
Re: 0.000 0.000 0.000 [4 per cell]
Tc: 0.125 0.125 0.625 [16 per cell]
Br: 0.250 0.250 0.250 [4 per cell]

**E_form (uncorrected)**: 6.200 eV per formula unit

=====

(11)
K2BeMo | PBE | optimized geometry

Cell: 2.9316 2.9316 36.3053 Å, 90.00 90.00 120.00°
Space group R-3m (No. 166, hexagonal axes)
Inequivalent atoms, fractional coordinates:
K: 0.0000 0.0000 0.2484 [6 per cell]
Be: 0.0000 0.0000 0.5000 [3 per cell]
Mo: 0.0000 0.0000 0.0000 [3 per cell]

**Raw total energy**: -2.715 eV/atom

=====

(12)
TbPaCSe | PBE | optimized geometry

Cell: 3.7335 3.7335 20.3038 Å, 90.00 90.00 120.00°
Space group R3m (No. 160, hexagonal axes)
Inequivalent atoms, fractional coordinates:
Tb: 0.0000 0.0000 0.0000 [3 per cell]
Pa: 0.0000 0.0000 0.2026 [3 per cell]
C: 0.0000 0.0000 0.5921 [3 per cell]
Se: 0.0000 0.0000 0.7676 [3 per cell]

**E_form (uncorrected)**: -4.120 eV per formula unit

=====

Calculated M_tot in order - 0.00, 0.00, 0.00, 1.02, 0.71, 0.00, 0.00, 0.00, 0.00, 0.00, 0.05, 0.00 μB per atom